A plane-wave DFT calculation with PBE was carried out for a relaxed DyZrIrRu crystal.

Geometry as CIF:
```
data_DyZrIrRu
_chemical_formula_sum 'Dy1 Zr1 Ir1 Ru1'
_space_group_name_H-M_alt 'P 4 m m'
_space_group_IT_number 99
_cell_length_a 3.3713
_cell_length_b 3.3713
_cell_length_c 6.6552
_cell_angle_alpha 90.00
_cell_angle_beta 90.00
_cell_angle_gamma 90.00
loop_
_space_group_symop_operation_xyz
'x,y,z'
'-y,x,z'
'-x,-y,z'
'y,-x,z'
'-x,y,z'
'y,x,z'
'x,-y,z'
'-y,-x,z'
loop_
_atom_site_label
_atom_site_type_symbol
_atom_site_fract_x
_atom_site_fract_y
_atom_site_fract_z
Dy1 Dy 0.0000 0.0000 0.0000
Zr1 Zr 0.0000 0.0000 0.4994
Ir1 Ir 0.5000 0.5000 0.7323
Ru1 Ru 0.5000 0.5000 0.2679
```

Computed properties:
Its final energy is -8.513 eV per atom. For the formation energy, the calculation gives -0.69 eV/atom.

---

A plane-wave DFT calculation with PBE was carried out for a relaxed Sm4CrGa12 crystal.

Geometry as CIF:
```
data_Sm4CrGa12
_chemical_formula_sum 'Sm8 Cr2 Ga24'
_space_group_name_H-M_alt 'I m -3 m'
_space_group_IT_number 229
_space_group_name_Hall '-I 4 2 3'
_cell_length_a 8.7439
_cell_length_b 8.7439
_cell_length_c 8.7439
_cell_angle_alpha 90.00
_cell_angle_beta 90.00
_cell_angle_gamma 90.00
loop_
_atom_site_label
_atom_site_type_symbol
_atom_site_fract_x
_atom_site_fract_y
_atom_site_fract_z
Sm1 Sm 0.2500 0.2500 0.2500
Cr1 Cr 0.0000 0.0000 0.0000
Ga1 Ga 0.0000 0.0000 0.2934
Ga2 Ga 0.0000 0.2500 0.5000
```

Computed properties:
Its final energy is -4.328 eV per atom. For the formation energy, the calculation gives -0.52 eV/atom.

---

A plane-wave DFT calculation with PBE was carried out for a relaxed MnNbPd6 crystal.

Geometry as CIF:
```
data_MnNbPd6
_chemical_formula_sum 'Mn1 Nb1 Pd6'
_space_group_name_H-M_alt 'P 4/m m m'
_space_group_IT_number 123
_space_group_name_Hall '-P 4 2'
_cell_length_a 3.9595
_cell_length_b 3.9595
_cell_length_c 7.8782
_cell_angle_alpha 90.00
_cell_angle_beta 90.00
_cell_angle_gamma 90.00
loop_
_atom_site_label
_atom_site_type_symbol
_atom_site_fract_x
_atom_site_fract_y
_atom_site_fract_z
Mn1 Mn 0.0000 0.0000 0.0000
Nb1 Nb 0.0000 0.0000 0.5000
Pd1 Pd 0.0000 0.5000 0.2531
Pd2 Pd 0.5000 0.5000 0.0000
Pd3 Pd 0.5000 0.5000 0.5000
```

Computed properties:
Its final energy is -6.668 eV per atom. For the formation energy, the calculation gives -0.37 eV/atom.

---

A plane-wave DFT calculation with PBE was carried out for a relaxed KMgTl2F crystal.

Geometry as CIF:
```
data_KMgTl2F
_chemical_formula_sum 'K1 Mg1 Tl2 F1'
_space_group_name_H-M_alt 'P 4/m m m'
_space_group_IT_number 123
_space_group_name_Hall '-P 4 2'
_cell_length_a 5.4629
_cell_length_b 5.4629
_cell_length_c 4.9530
_cell_angle_alpha 90.00
_cell_angle_beta 90.00
_cell_angle_gamma 90.00
loop_
_atom_site_label
_atom_site_type_symbol
_atom_site_fract_x
_atom_site_fract_y
_atom_site_fract_z
K1 K 0.0000 0.0000 0.0000
Mg1 Mg 0.5000 0.5000 0.0000
Tl1 Tl 0.0000 0.5000 0.5000
F1 F 0.0000 0.0000 0.5000
```

Computed properties:
Its raw formation energy is -0.71 eV per atom. Its final energy is -2.567 eV per atom.

---

A plane-wave DFT calculation with PBE was carried out for a relaxed CePr4Tm crystal.

Geometry as CIF:
```
data_CePr4Tm
_chemical_formula_sum 'Ce2 Pr8 Tm2'
_space_group_name_H-M_alt 'C 1 2/m 1'
_space_group_IT_number 12
_cell_length_a 6.3096
_cell_length_b 10.9479
_cell_length_c 6.3031
_cell_angle_alpha 90.00
_cell_angle_beta 109.25
_cell_angle_gamma 90.00
loop_
_space_group_symop_operation_xyz
'x,y,z'
'-x,-y,-z'
'-x,y,-z'
'x,-y,z'
'x+1/2,y+1/2,z'
'-x+1/2,-y+1/2,-z'
'-x+1/2,y+1/2,-z'
'x+1/2,-y+1/2,z'
loop_
_atom_site_label
_atom_site_type_symbol
_atom_site_fract_x
_atom_site_fract_y
_atom_site_fract_z
Ce1 Ce 0.0000 0.0000 0.0000
Pr1 Pr 0.0000 0.1632 0.5000
Pr2 Pr 0.0000 0.3357 0.0000
Tm1 Tm 0.0000 0.5000 0.5000
```

Computed properties:
Its final energy is -4.856 eV per atom. For the formation energy, the calculation gives 0.06 eV/atom.

---

A plane-wave DFT calculation with PBE was carried out for a relaxed Cr2Si crystal.

Geometry as CIF:
```
data_Cr2Si
_chemical_formula_sum 'Cr8 Si4'
_space_group_name_H-M_alt 'C m c m'
_space_group_IT_number 63
_space_group_name_Hall '-C 2c 2'
_cell_length_a 2.9543
_cell_length_b 11.7363
_cell_length_c 4.0424
_cell_angle_alpha 90.00
_cell_angle_beta 90.00
_cell_angle_gamma 90.00
loop_
_atom_site_label
_atom_site_type_symbol
_atom_site_fract_x
_atom_site_fract_y
_atom_site_fract_z
Cr1 Cr 0.0000 0.0769 0.2500
Cr2 Cr 0.0000 0.2650 0.7500
Si1 Si 0.0000 0.4062 0.2500
```

Computed properties:
Its raw formation energy is -0.20 eV per atom. Its final energy is -8.420 eV per atom.

---

A plane-wave DFT calculation with PBE was carried out for a relaxed CaHo3Hg12 crystal.

Geometry as CIF:
```
data_CaHo3Hg12
_chemical_formula_sum 'Ca1 Ho3 Hg12'
_space_group_name_H-M_alt 'P 4/m m m'
_space_group_IT_number 123
_space_group_name_Hall '-P 4 2'
_cell_length_a 4.5447
_cell_length_b 4.5447
_cell_length_c 19.0519
_cell_angle_alpha 90.00
_cell_angle_beta 90.00
_cell_angle_gamma 90.00
loop_
_atom_site_label
_atom_site_type_symbol
_atom_site_fract_x
_atom_site_fract_y
_atom_site_fract_z
Ca1 Ca 0.0000 0.0000 0.0000
Ho1 Ho 0.0000 0.0000 0.2499
Ho2 Ho 0.0000 0.0000 0.5000
Hg1 Hg 0.0000 0.5000 0.1286
Hg2 Hg 0.0000 0.5000 0.3763
Hg3 Hg 0.5000 0.5000 0.0000
Hg4 Hg 0.5000 0.5000 0.2529
Hg5 Hg 0.5000 0.5000 0.5000
```

Computed properties:
Its final energy is -1.527 eV per atom. For the formation energy, the calculation gives -0.32 eV/atom.

---

A plane-wave DFT calculation with PBE was carried out for a relaxed Ce4BiAs2P crystal.

Geometry as CIF:
```
data_Ce4BiAs2P
_chemical_formula_sum 'Ce4 Bi1 As2 P1'
_space_group_name_H-M_alt 'P 1 2/m 1'
_space_group_IT_number 10
_cell_length_a 7.4054
_cell_length_b 4.2686
_cell_length_c 7.4582
_cell_angle_alpha 90.00
_cell_angle_beta 109.30
_cell_angle_gamma 90.00
loop_
_space_group_symop_operation_xyz
'x,y,z'
'-x,-y,-z'
'-x,y,-z'
'x,-y,z'
loop_
_atom_site_label
_atom_site_type_symbol
_atom_site_fract_x
_atom_site_fract_y
_atom_site_fract_z
Ce1 Ce 0.2372 0.0000 0.2306
Ce2 Ce 0.2482 0.5000 0.7637
Bi1 Bi 0.5000 0.5000 0.5000
As1 As 0.0000 0.0000 0.5000
As2 As 0.0000 0.5000 0.0000
P1 P 0.5000 0.0000 0.0000
```

Computed properties:
Its final energy is -6.517 eV per atom. For the formation energy, the calculation gives -1.23 eV/atom.

---

A plane-wave DFT calculation with PBE was carried out for a relaxed Ba2AlZn4Ge3 crystal.

Geometry as CIF:
```
data_Ba2AlZn4Ge3
_chemical_formula_sum 'Ba2 Al1 Zn4 Ge3'
_space_group_name_H-M_alt 'P -4 m 2'
_space_group_IT_number 115
_cell_length_a 4.4868
_cell_length_b 4.4868
_cell_length_c 11.0377
_cell_angle_alpha 90.00
_cell_angle_beta 90.00
_cell_angle_gamma 90.00
loop_
_space_group_symop_operation_xyz
'x,y,z'
'y,-x,-z'
'-x,-y,z'
'-y,x,-z'
'-x,y,z'
'-y,-x,-z'
'x,-y,z'
'y,x,-z'
loop_
_atom_site_label
_atom_site_type_symbol
_atom_site_fract_x
_atom_site_fract_y
_atom_site_fract_z
Ba1 Ba 0.0000 0.5000 0.2433
Al1 Al 0.0000 0.0000 0.5000
Zn1 Zn 0.0000 0.0000 0.0000
Zn2 Zn 0.0000 0.5000 0.6322
Zn3 Zn 0.5000 0.5000 0.0000
Ge1 Ge 0.0000 0.5000 0.8708
Ge2 Ge 0.5000 0.5000 0.5000
```

Computed properties:
Its final energy is -3.010 eV per atom. For the formation energy, the calculation gives -0.36 eV/atom.

---

A plane-wave DFT calculation with PBE was carried out for a relaxed Rb12Na crystal.

Geometry as CIF:
```
data_Rb12Na
_chemical_formula_sum 'Rb24 Na2'
_space_group_name_H-M_alt 'I m -3'
_space_group_IT_number 204
_space_group_name_Hall '-I 2 2 3'
_cell_length_a 13.1181
_cell_length_b 13.1181
_cell_length_c 13.1181
_cell_angle_alpha 90.00
_cell_angle_beta 90.00
_cell_angle_gamma 90.00
loop_
_atom_site_label
_atom_site_type_symbol
_atom_site_fract_x
_atom_site_fract_y
_atom_site_fract_z
Rb1 Rb 0.0000 0.1771 0.3106
Na1 Na 0.0000 0.0000 0.0000
```

Computed properties:
Its final energy is -0.969 eV per atom. For the formation energy, the calculation gives 0.03 eV/atom.